# 1
Y2Ti2Ga after structural relaxation. Source: Alexandria via LeMat-Bulk, functional PBE.

Properties
Magnetic moment ... 0.00 μB/f.u.
Energy relative to the elements ... -35 meV/atom
E_tot ... -63.8 eV/cell
Distance to the lowest polymorph of the same formula ... 0 meV/atom

Cell lengths 7.0476, 7.0476, 4.5878 Å; angles 90.00, 90.00, 90.00 degrees
Last column: nearest neighbours and their distance in Å.
Sites, in units of the cell vectors:
Y (0.1651, 0.3349, 0.0000)  6 Ti 3.03-3.13, 1 Y 3.29
Y (0.3349, 0.8349, 0.0000)  6 Ti 3.03-3.13, 1 Y 3.29
Y (0.6651, 0.1651, 0.0000)  6 Ti 3.03-3.13, 1 Y 3.29
Y (0.8349, 0.6651, 0.0000)  6 Ti 3.03-3.13, 1 Y 3.29
Ti (0.1364, 0.6364, 0.5000)  1 Ti 2.72, 2 Ga 2.74, 2 Y 3.03
Ti (0.3636, 0.1364, 0.5000)  1 Ti 2.72, 2 Ga 2.74, 2 Y 3.03
Ti (0.6364, 0.8636, 0.5000)  1 Ti 2.72, 2 Ga 2.74, 2 Y 3.03
Ti (0.8636, 0.3636, 0.5000)  1 Ti 2.72, 2 Ga 2.74, 2 Y 3.03
Ga (0.0000, 0.0000, 0.5000)  4 Ti 2.74
Ga (0.5000, 0.5000, 0.5000)  4 Ti 2.74

***

# 2
Ti3ZnGa after structural relaxation. Source: Alexandria via LeMat-Bulk, functional PBE.

Properties
Magnetic moment ... 0.00 μB/f.u.
Energy relative to the elements ... 32 meV/atom
E_tot ... -55.7 eV/cell
Distance to the lowest polymorph of the same formula ... 0 meV/atom

Cell lengths 7.4813, 7.4813, 4.8402 Å; angles 90.00, 90.00, 139.91 degrees
Last column: nearest neighbours and their distance in Å.
Sites, in units of the cell vectors:
Ti (0.0000, 0.0000, 0.0000)  2 Ti 2.42, 2 Ga 2.68
Ti (0.0000, 0.0000, 0.5000)  2 Ti 2.42, 2 Ga 2.68
Ti (0.0842, 0.4056, 0.2500)  2 Ti 2.51-2.62, 3 Ga 2.72-2.73
Ti (0.4056, 0.0842, 0.7500)  2 Ti 2.51-2.62, 3 Ga 2.72-2.73
Ti (0.5944, 0.9158, 0.2500)  2 Ti 2.51-2.62, 3 Ga 2.72-2.73
Ti (0.9158, 0.5944, 0.7500)  2 Ti 2.51-2.62, 3 Ga 2.72-2.73
Zn (0.4591, 0.5409, 0.7500)  2 Zn 2.68, 4 Ti 2.89
Zn (0.5409, 0.4591, 0.2500)  2 Zn 2.68, 4 Ti 2.89
Ga (0.1700, 0.8300, 0.2500)  8 Ti 2.68-2.73
Ga (0.8300, 0.1700, 0.7500)  8 Ti 2.68-2.73

***

# 3
TiZn3Ga after structural relaxation. Source: Alexandria via LeMat-Bulk, functional PBE.

Properties
Magnetic moment ... 2.96 μB/f.u.
Energy relative to the elements ... 820 meV/atom
E_tot ... -10.6 eV/cell
Distance to the lowest polymorph of the same formula ... 916 meV/atom

Cell lengths 5.0696, 5.0696, 5.0696 Å; angles 90.00, 90.00, 90.00 degrees
Last column: nearest neighbours and their distance in Å.
Sites, in units of the cell vectors:
Ti (0.0000, 0.0000, 0.0000)  6 Zn 2.53
Zn (0.0000, 0.0000, 0.5000)  2 Ti 2.53
Zn (0.0000, 0.5000, 0.0000)  2 Ti 2.53
Zn (0.5000, 0.0000, 0.0000)  2 Ti 2.53
Ga (0.5000, 0.5000, 0.5000)  12 Zn 3.58

***

# 4
Ti3ZnGa after structural relaxation. Source: Alexandria via LeMat-Bulk, functional PBE.

Properties
Magnetic moment ... 0.00 μB/f.u.
Energy relative to the elements ... 564 meV/atom
E_tot ... -25.2 eV/cell
Distance to the lowest polymorph of the same formula ... 533 meV/atom

Cell lengths 4.6378, 4.6378, 4.6378 Å; angles 90.00, 90.00, 90.00 degrees
Last column: nearest neighbours and their distance in Å.
Sites, in units of the cell vectors:
Ti (0.0000, 0.0000, 0.5000)  2 Zn 2.32
Ti (0.0000, 0.5000, 0.0000)  2 Zn 2.32
Ti (0.5000, 0.0000, 0.0000)  2 Zn 2.32
Zn (0.0000, 0.0000, 0.0000)  6 Ti 2.32
Ga (0.5000, 0.5000, 0.5000)  12 Ti 3.28

***

# 5
Ti3ZnGa5 after structural relaxation. Source: Alexandria via LeMat-Bulk, functional PBE.

Properties
Magnetic moment ... 0.00 μB/f.u.
Energy relative to the elements ... -42 meV/atom
E_tot ... -80.9 eV/cell

Cell lengths 7.5401, 7.5401, 7.5401 Å; angles 118.20, 118.20, 93.14 degrees
Last column: nearest neighbours and their distance in Å.
Sites, in units of the cell vectors:
Ti (0.1103, 0.6103, 0.7207)  1 Ti 2.42, 2 Ga 2.59
Ti (0.2500, 0.2500, 0.0000)  2 Ga 2.59
Ti (0.3897, 0.1103, 0.5000)  1 Ti 2.42, 2 Ga 2.59
Ti (0.6103, 0.8897, 0.5000)  1 Ti 2.42, 2 Ga 2.59
Ti (0.7500, 0.7500, 0.0000)  2 Ga 2.59
Ti (0.8897, 0.3897, 0.2793)  1 Ti 2.42, 2 Ga 2.59
Zn (0.2500, 0.7500, 0.5000)  4 Ga 2.41
Zn (0.7500, 0.2500, 0.5000)  4 Ga 2.41
Ga (0.0000, 0.0000, 0.0000)  2 Ti 2.59
Ga (0.0547, 0.1684, 0.5000)  1 Zn 2.41, 1 Ti 2.59, 1 Ga 2.63
Ga (0.1684, 0.6684, 0.1137)  1 Zn 2.41, 1 Ti 2.59, 1 Ga 2.63
Ga (0.3316, 0.4453, 0.5000)  1 Zn 2.41, 1 Ti 2.59, 1 Ga 2.63
Ga (0.4453, 0.9453, 0.1137)  1 Zn 2.41, 1 Ti 2.59, 1 Ga 2.63
Ga (0.5000, 0.5000, 0.0000)  2 Ti 2.59
Ga (0.5547, 0.0547, 0.8863)  1 Zn 2.41, 1 Ti 2.59, 1 Ga 2.63
Ga (0.6684, 0.5547, 0.5000)  1 Zn 2.41, 1 Ti 2.59, 1 Ga 2.63
Ga (0.8316, 0.3316, 0.8863)  1 Zn 2.41, 1 Ti 2.59, 1 Ga 2.63
Ga (0.9453, 0.8316, 0.5000)  1 Zn 2.41, 1 Ti 2.59, 1 Ga 2.63

***

# 6
Ti5ZnGa4 after structural relaxation. Source: Alexandria via LeMat-Bulk, functional PBE.

Properties
Magnetic moment ... 0.01 μB/f.u.
Energy relative to the elements ... -100 meV/atom
E_tot ... -53.9 eV/cell
Distance to the lowest polymorph of the same formula ... 311 meV/atom

Cell lengths 6.2443, 6.2443, 6.2443 Å; angles 100.79, 100.79, 128.73 degrees
Last column: nearest neighbours and their distance in Å.
Sites, in units of the cell vectors:
Ti (0.0000, 0.0000, 0.0000)  1 Zn 2.54, 4 Ga 2.64
Ti (0.1605, 0.9247, 0.6124)  5 Ga 2.61-2.74, 1 Zn 2.85, 1 Ti 2.86
Ti (0.3123, 0.5481, 0.3876)  5 Ga 2.61-2.74, 1 Zn 2.85, 1 Ti 2.86
Ti (0.5481, 0.1605, 0.2358)  5 Ga 2.61-2.74, 1 Zn 2.85, 1 Ti 2.86
Ti (0.9247, 0.3123, 0.7642)  5 Ga 2.61-2.74, 1 Zn 2.85, 1 Ti 2.86
Zn (0.4693, 0.4693, 0.0000)  1 Ti 2.54, 4 Ga 2.65
Ga (0.4759, 0.8349, 0.8366)  6 Ti 2.61-2.74, 1 Zn 2.65
Ga (0.6393, 0.4759, 0.6410)  6 Ti 2.61-2.74, 1 Zn 2.65
Ga (0.8349, 0.9983, 0.3590)  6 Ti 2.61-2.74, 1 Zn 2.65
Ga (0.9983, 0.6393, 0.1634)  6 Ti 2.61-2.74, 1 Zn 2.65

***

# 7
Ti5ZnGa3 after structural relaxation. Source: Alexandria via LeMat-Bulk, functional PBE.

Properties
Magnetic moment ... 0.00 μB/f.u.
Energy relative to the elements ... -406 meV/atom
E_tot ... -107.0 eV/cell
Distance to the lowest polymorph of the same formula ... 0 meV/atom

Cell lengths 7.8480, 7.8480, 5.3926 Å; angles 90.00, 90.00, 120.00 degrees
Last column: nearest neighbours and their distance in Å.
Sites, in units of the cell vectors:
Ti (0.0000, 0.3046, 0.2500)  5 Ga 2.61-2.73, 2 Zn 2.74
Ti (0.0000, 0.6954, 0.7500)  5 Ga 2.61-2.73, 2 Zn 2.74
Ti (0.3046, 0.0000, 0.2500)  5 Ga 2.61-2.73, 2 Zn 2.74
Ti (0.3046, 0.3046, 0.7500)  5 Ga 2.61-2.73, 2 Zn 2.74
Ti (0.3333, 0.6667, 0.0000)  2 Ti 2.70, 6 Ga 2.85
Ti (0.3333, 0.6667, 0.5000)  2 Ti 2.70, 6 Ga 2.85
Ti (0.6667, 0.3333, 0.0000)  2 Ti 2.70, 6 Ga 2.85
Ti (0.6667, 0.3333, 0.5000)  2 Ti 2.70, 6 Ga 2.85
Ti (0.6954, 0.0000, 0.7500)  5 Ga 2.61-2.73, 2 Zn 2.74
Ti (0.6954, 0.6954, 0.2500)  5 Ga 2.61-2.73, 2 Zn 2.74
Zn (0.0000, 0.0000, 0.0000)  2 Zn 2.70, 6 Ti 2.74
Zn (0.0000, 0.0000, 0.5000)  2 Zn 2.70, 6 Ti 2.74
Ga (0.0000, 0.3625, 0.7500)  9 Ti 2.61-2.85
Ga (0.0000, 0.6375, 0.2500)  9 Ti 2.61-2.85
Ga (0.3625, 0.0000, 0.7500)  9 Ti 2.61-2.85
Ga (0.3625, 0.3625, 0.2500)  9 Ti 2.61-2.85
Ga (0.6375, 0.0000, 0.2500)  9 Ti 2.61-2.85
Ga (0.6375, 0.6375, 0.7500)  9 Ti 2.61-2.85

***

# 8
TiZnGa after structural relaxation. Source: Alexandria via LeMat-Bulk, functional PBE.

Properties
Magnetic moment ... 0.00 μB/f.u.
Energy relative to the elements ... -324 meV/atom
E_tot ... -13.2 eV/cell

Cell lengths 4.2369, 4.2369, 2.9862 Å; angles 90.00, 90.00, 120.00 degrees
Last column: nearest neighbours and their distance in Å.
Sites, in units of the cell vectors:
Ti (0.0000, 0.0000, 0.0000)  6 Ga 2.87, 6 Zn 2.87, 2 Ti 2.99
Zn (0.3333, 0.6667, 0.5000)  3 Ga 2.45
Ga (0.6667, 0.3333, 0.5000)  3 Zn 2.45

***

# 9
Ti6ZnGa5 after structural relaxation. Source: Alexandria via LeMat-Bulk, functional PBE.

Properties
Magnetic moment ... 0.00 μB/f.u.
Energy relative to the elements ... -232 meV/atom
E_tot ... -66.6 eV/cell
Distance to the lowest polymorph of the same formula ... 115 meV/atom

Cell lengths 6.1605, 6.1605, 5.2657 Å; angles 95.23, 95.23, 86.16 degrees
Last column: nearest neighbours and their distance in Å.
Sites, in units of the cell vectors:
Ti (0.0814, 0.4158, 0.7489)  5 Ga 2.74-2.83, 6 Ti 2.80-2.99, 1 Zn 2.85
Ti (0.2492, 0.2492, 0.2505)  5 Ga 2.74-2.85, 1 Zn 2.75, 6 Ti 2.80-2.99
Ti (0.4158, 0.0814, 0.7489)  5 Ga 2.74-2.83, 6 Ti 2.80-2.99, 1 Zn 2.85
Ti (0.5842, 0.9186, 0.2511)  5 Ga 2.74-2.83, 6 Ti 2.80-2.99, 1 Zn 2.85
Ti (0.7508, 0.7508, 0.7495)  5 Ga 2.74-2.85, 1 Zn 2.75, 6 Ti 2.80-2.99
Ti (0.9186, 0.5842, 0.2511)  5 Ga 2.74-2.83, 6 Ti 2.80-2.99, 1 Zn 2.85
Zn (0.5000, 0.5000, 0.0000)  6 Ti 2.75-2.85, 6 Ga 2.76-2.97
Ga (0.0000, 0.0000, 0.5000)  6 Ti 2.74-2.82, 6 Ga 2.82-3.01
Ga (0.1725, 0.8275, 0.0000)  6 Ti 2.74-2.85, 1 Zn 2.76, 5 Ga 2.90-3.01
Ga (0.3355, 0.6645, 0.5000)  6 Ti 2.75-2.83, 4 Ga 2.77-2.97, 2 Zn 2.97
Ga (0.6645, 0.3355, 0.5000)  6 Ti 2.75-2.83, 4 Ga 2.77-2.97, 2 Zn 2.97
Ga (0.8275, 0.1725, 0.0000)  6 Ti 2.74-2.85, 1 Zn 2.76, 5 Ga 2.90-3.01

***

# 10
Ti4Zn5Ga2 after structural relaxation. Source: Alexandria via LeMat-Bulk, functional PBE.

Properties
Magnetic moment ... 0.57 μB/f.u.
Energy relative to the elements ... -215 meV/atom
E_tot ... -46.4 eV/cell

Cell lengths 6.8122, 2.8651, 8.8853 Å; angles 90.00, 93.96, 90.00 degrees
Last column: nearest neighbours and their distance in Å.
Sites, in units of the cell vectors:
Ti (0.1480, 0.0000, 0.3921)  2 Ga 2.71, 8 Zn 2.80-2.98, 3 Ti 2.87-2.88
Ti (0.2915, 0.0000, 0.9467)  4 Ga 2.80-2.83, 6 Zn 2.81-2.91, 3 Ti 2.87-2.93
Ti (0.7085, 0.0000, 0.0533)  4 Ga 2.80-2.83, 6 Zn 2.81-2.91, 3 Ti 2.87-2.93
Ti (0.8520, 0.0000, 0.6079)  2 Ga 2.71, 8 Zn 2.80-2.98, 3 Ti 2.87-2.88
Zn (0.2031, 0.5000, 0.6655)  1 Ga 2.57, 4 Zn 2.58-2.87, 4 Ti 2.80-2.82
Zn (0.4325, 0.5000, 0.2094)  1 Ga 2.59, 4 Zn 2.59-2.87, 4 Ti 2.81-2.85
Zn (0.5000, 0.5000, 0.5000)  6 Zn 2.58-2.87
Zn (0.5675, 0.5000, 0.7906)  1 Ga 2.59, 4 Zn 2.59-2.87, 4 Ti 2.81-2.85
Zn (0.7969, 0.5000, 0.3345)  1 Ga 2.57, 4 Zn 2.58-2.87, 4 Ti 2.80-2.82
Ga (0.0572, 0.5000, 0.1379)  1 Ga 2.52, 2 Zn 2.57-2.59, 4 Ti 2.71-2.80
Ga (0.9428, 0.5000, 0.8621)  1 Ga 2.52, 2 Zn 2.57-2.59, 4 Ti 2.71-2.80

***

# 11
Ti4ZnGa4 after structural relaxation. Source: Alexandria via LeMat-Bulk, functional PBE.

Properties
Magnetic moment ... 0.97 μB/f.u.
Energy relative to the elements ... -133 meV/atom
E_tot ... -46.2 eV/cell

Cell lengths 6.0649, 6.0649, 6.0649 Å; angles 100.17, 100.17, 130.30 degrees
Last column: nearest neighbours and their distance in Å.
Sites, in units of the cell vectors:
Ti (0.0552, 0.3424, 0.3976)  1 Ti 2.60, 5 Ga 2.70-2.77, 1 Zn 2.70
Ti (0.3424, 0.9448, 0.2872)  1 Ti 2.60, 5 Ga 2.70-2.77, 1 Zn 2.70
Ti (0.6576, 0.0552, 0.7128)  1 Ti 2.60, 5 Ga 2.70-2.77, 1 Zn 2.70
Ti (0.9448, 0.6576, 0.6024)  1 Ti 2.60, 5 Ga 2.70-2.77, 1 Zn 2.70
Zn (0.0000, 0.0000, 0.0000)  4 Ti 2.70
Ga (0.2874, 0.6027, 0.8900)  2 Ga 2.60, 5 Ti 2.70-2.77
Ga (0.3973, 0.2874, 0.6847)  2 Ga 2.60, 5 Ti 2.70-2.77
Ga (0.6027, 0.7126, 0.3153)  2 Ga 2.60, 5 Ti 2.70-2.77
Ga (0.7126, 0.3973, 0.1100)  2 Ga 2.60, 5 Ti 2.70-2.77

***

# 12
Ti3Zn2Ga3 after structural relaxation. Source: Alexandria via LeMat-Bulk, functional PBE.

Properties
Magnetic moment ... 0.00 μB/f.u.
Energy relative to the elements ... -294 meV/atom
E_tot ... -75.3 eV/cell

Cell lengths 5.2391, 5.2391, 13.1376 Å; angles 90.00, 90.00, 134.88 degrees
Last column: nearest neighbours and their distance in Å.
Sites, in units of the cell vectors:
Ti (0.0757, 0.9243, 0.6131)  6 Ga 2.72-2.91, 3 Zn 2.83-2.84
Ti (0.0757, 0.9243, 0.8869)  6 Ga 2.72-2.91, 3 Zn 2.83-2.84
Ti (0.3331, 0.6669, 0.7500)  5 Ga 2.67-2.96, 4 Zn 2.76
Ti (0.6669, 0.3331, 0.2500)  5 Ga 2.67-2.96, 4 Zn 2.76
Ti (0.9243, 0.0757, 0.1131)  6 Ga 2.72-2.91, 3 Zn 2.83-2.84
Ti (0.9243, 0.0757, 0.3869)  6 Ga 2.72-2.91, 3 Zn 2.83-2.84
Zn (0.2165, 0.7835, 0.1109)  4 Ga 2.41-2.63
Zn (0.2165, 0.7835, 0.3891)  4 Ga 2.41-2.63
Zn (0.7835, 0.2165, 0.6109)  4 Ga 2.41-2.63
Zn (0.7835, 0.2165, 0.8891)  4 Ga 2.41-2.63
Ga (0.3879, 0.6121, 0.5447)  3 Zn 2.41-2.63, 1 Ga 2.47
Ga (0.3879, 0.6121, 0.9553)  3 Zn 2.41-2.63, 1 Ga 2.47
Ga (0.3913, 0.6087, 0.2500)  2 Zn 2.49, 5 Ti 2.67-2.72
Ga (0.6087, 0.3913, 0.7500)  2 Zn 2.49, 5 Ti 2.67-2.72
Ga (0.6121, 0.3879, 0.0447)  3 Zn 2.41-2.63, 1 Ga 2.47
Ga (0.6121, 0.3879, 0.4553)  3 Zn 2.41-2.63, 1 Ga 2.47

***

- What is the formula in the twelfth record?
  Ti3Zn2Ga3

***

- What is the magnetic moment in the fifth record?
  0.00 μB/f.u.

***

- Look up the E_tot of the eleventh one.
  -46.2 eV/cell